No. 1
Entry from Alexandria: crystalline BOs3Au at its relaxed geometry (PBE-GGA).

```
5
Lattice="4.9115 0.0000 0.0000 0.0000 4.9115 0.0000 0.0000 0.0000 4.9115" Properties=species:S:1:pos:R:3 pbc="T T T"
Os 0.0000 2.4557 0.0000
Au 0.0000 0.0000 0.0000
Os 2.4557 0.0000 0.0000
B 2.4557 2.4557 2.4557
Os 0.0000 0.0000 2.4557
```

ΔH_f (0 K), meV/atom: 3851.0

---

No. 2
Entry from Alexandria: crystalline BOsAu2 at its relaxed geometry (PBE-GGA).

```
8
Lattice="4.7540 0.0000 0.0000 0.0000 4.7540 0.0000 2.3770 2.3770 6.5670" Properties=species:S:1:pos:R:3 pbc="T T T"
B 2.3770 2.3770 0.0000
Au 5.9425 5.5405 4.9253
Au 3.1635 1.1885 1.6418
Os 4.7540 2.3770 3.2835
Os 0.0000 0.0000 0.0000
Au 1.5905 3.5655 1.6418
B 2.3770 4.7540 3.2835
Au 3.5655 3.9675 4.9253
```

ΔH_f (0 K), meV/atom: 1477.2

---

No. 3
Entry from Alexandria: crystalline SrB2OsAu at its relaxed geometry (PBE-GGA).

```
5
Lattice="-1.2926 2.5108 3.0971 -2.1434 -4.7790 2.9798 3.6978 -0.4624 1.9182" Properties=species:S:1:pos:R:3 pbc="T T T"
B 1.8489 -0.2312 0.9591
Sr -1.0717 -2.3895 1.4899
B -0.6463 1.2554 1.5485
Au 0.0000 0.0000 0.0000
Os 0.1309 -1.3653 3.9975
```

Energy above the most stable polymorph in this dataset, meV/atom: 0
ΔH_f (0 K), meV/atom: 1738.6